A plane-wave DFT calculation with PBE-GGA was carried out for crystalline Tb5Er4Th2 at its relaxed geometry.

Structure (extended XYZ):
```
11
Lattice="3.4848 0.0000 0.0000 0.0000 8.7461 0.2043 0.0000 0.5845 11.6882" Properties=species:S:1:pos:R:3 pbc="T T T"
Tb 0.0000 3.9168 3.4722
Tb 0.0000 5.4138 8.4203
Er 1.7424 2.9836 6.4447
Tb 0.0000 4.3731 0.1022
Tb 0.0000 7.1341 2.0465
Th 0.0000 8.7992 7.6159
Er 1.7424 1.4671 1.2923
Er 1.7424 6.3470 5.4478
Tb 0.0000 2.1964 9.8461
Er 1.7424 7.8635 10.6002
Th 0.0000 0.5314 4.2766
```

Results
M_tot, μB per atom: 0.00
Formation enthalpy at 0 K, meV per atom: 134
DFT total energy, eV per atom: -4.979
Distance to the lowest polymorph of the same formula, meV/atom: 0



A plane-wave DFT calculation with PBE-GGA was carried out for crystalline Tb12ErTh3 at its relaxed geometry.

Structure (extended XYZ):
```
16
Lattice="-2.8324 4.1428 -0.4578 -1.8584 -1.7507 -4.3447 -14.8614 -9.0549 10.0055" Properties=species:S:1:pos:R:3 pbc="T T T"
Tb -6.5030 -4.2714 1.5803
Tb -2.7980 -2.0140 -0.9142
Tb -6.0543 -1.0637 0.0957
Tb -10.7038 -3.5874 6.0240
Tb -13.4980 -5.5991 5.1072
Tb -14.4088 -5.8449 8.5184
Tb -2.3454 1.1960 -2.4013
Th -7.4307 -4.5275 5.0027
Tb -9.7761 -3.3314 2.6015
Th -11.1391 -6.7869 7.4994
Tb -3.2850 0.9328 1.0293
Th -3.7224 -2.2680 2.5061
Tb -10.2168 -6.5342 4.0805
Er 0.0000 0.0000 0.0000
Tb -13.9218 -8.7917 6.5750
Tb -6.9900 -1.3247 3.5237
```

Results
M_tot, μB per atom: 0.00
Formation enthalpy at 0 K, meV per atom: 35
DFT total energy, eV per atom: -5.114



A plane-wave DFT calculation with PBE-GGA was carried out for crystalline Tb4Er6Th at its relaxed geometry.

Structure (extended XYZ):
```
22
Lattice="-5.5975 0.5287 0.6134 3.2834 -0.6836 4.4775 2.6000 25.2647 1.9507" Properties=species:S:1:pos:R:3 pbc="T T T"
Tb 0.0203 24.1982 5.4031
Er -0.3392 20.6199 5.2071
Tb -0.5033 22.4326 2.1470
Tb 0.7892 2.6772 4.8946
Er 0.6251 4.4899 1.8345
Tb 0.2656 0.9116 1.6385
Tb 1.4542 9.1391 5.3935
Er -1.4516 10.0388 4.1751
Er 0.9743 7.8834 2.0965
Er -0.8367 19.2025 1.8880
Tb -1.1683 15.9707 1.6480
Th -1.8366 6.3105 3.8759
Er 1.7376 15.0710 2.8664
Tb -1.0640 13.6620 4.5896
Er -2.7987 0.2643 0.3067
Er -2.2192 2.5801 3.5992
Er -1.4987 12.8967 1.2820
Th 2.1225 18.7993 3.1656
Tb 1.3499 11.4477 2.4520
Er 1.1227 5.9073 5.1536
Er 2.5052 22.5297 3.4423
Er -0.6884 17.2264 4.9450
```

Results
M_tot, μB per atom: 0.00
Formation enthalpy at 0 K, meV per atom: 137
DFT total energy, eV per atom: -4.710
Distance to the lowest polymorph of the same formula, meV/atom: 0



A plane-wave DFT calculation with PBE-GGA was carried out for crystalline Tb2Er8Th3 at its relaxed geometry.

Structure (extended XYZ):
```
13
Lattice="5.4601 0.0000 0.8109 0.0000 7.8348 0.0000 -1.4719 -3.9174 9.8155" Properties=species:S:1:pos:R:3 pbc="T T T"
Er 1.5707 -1.5962 8.1135
Er 5.0786 0.0000 3.3266
Er -1.0904 3.9174 7.2998
Er 4.4787 0.0000 7.3029
Th 0.0000 2.3232 0.0000
Th 2.7300 0.0000 0.4054
Er 1.5707 1.5962 8.1135
Er 2.4175 2.3212 2.5129
Tb 1.9697 3.9174 5.5411
Th 0.0000 5.5117 0.0000
Er 2.4175 5.5136 2.5129
Er -0.4905 3.9174 3.3234
Tb 2.0185 0.0000 5.0853
```

Results
M_tot, μB per atom: 0.00
Formation enthalpy at 0 K, meV per atom: 276
DFT total energy, eV per atom: -4.957
Distance to the lowest polymorph of the same formula, meV/atom: 174



Q: Among the records above, which one has the highest DFT total energy?
A: Tb4Er6Th



What did the second record say?
A plane-wave DFT calculation with PBE-GGA was carried out for crystalline Tb12ErTh3 at its relaxed geometry.

Structure (extended XYZ):
```
16
Lattice="-2.8324 4.1428 -0.4578 -1.8584 -1.7507 -4.3447 -14.8614 -9.0549 10.0055" Properties=species:S:1:pos:R:3 pbc="T T T"
Tb -6.5030 -4.2714 1.5803
Tb -2.7980 -2.0140 -0.9142
Tb -6.0543 -1.0637 0.0957
Tb -10.7038 -3.5874 6.0240
Tb -13.4980 -5.5991 5.1072
Tb -14.4088 -5.8449 8.5184
Tb -2.3454 1.1960 -2.4013
Th -7.4307 -4.5275 5.0027
Tb -9.7761 -3.3314 2.6015
Th -11.1391 -6.7869 7.4994
Tb -3.2850 0.9328 1.0293
Th -3.7224 -2.2680 2.5061
Tb -10.2168 -6.5342 4.0805
Er 0.0000 0.0000 0.0000
Tb -13.9218 -8.7917 6.5750
Tb -6.9900 -1.3247 3.5237
```

Results
M_tot, μB per atom: 0.00
Formation enthalpy at 0 K, meV per atom: 35
DFT total energy, eV per atom: -5.114